(1)
# Tb2Pr3Ho7

A geometry-optimized Tb2Pr3Ho7 structure (PBE, Alexandria).

POSCAR file:
```
Tb2Pr3Ho7
1.0
-0.0865 -0.7501 -3.4562
-1.9576 -5.9010 1.3297
-17.9831 1.2309 0.1831
Ho Pr Tb
7 3 2
Cartesian
-9.5223 -1.2166 -1.3081
-10.5049 -4.2035 -0.6353
-16.8895 -4.9034 -0.3235
-15.8571 -1.5383 0.7309
-3.1377 -0.5168 -1.6198
-4.0836 -3.1318 0.7819
0.0000 0.0000 0.0000
-6.3520 -0.2533 0.2140
-1.0221 -3.3255 -1.0632
-13.5888 -4.4167 1.2988
-12.9028 -1.7894 -1.0991
-7.1245 -3.6307 -0.8442
```

Computed properties:
Total magnetization   0.0 μB/f.u.
Uncorrected energy   -54.588 eV/cell
ΔE_f   0.088 eV per atom

=====

(2)
# BeAgMo2

A geometry-optimized BeAgMo2 structure (PBE, Alexandria).

POSCAR file:
```
BeAgMo2
1.0
-4.4662 -1.4172 0.1693
-3.0324 -3.3436 1.2686
-0.9285 1.9400 4.6106
Ag Be Mo
1 1 2
Cartesian
-4.2307 -1.4669 2.9476
-2.0938 -0.7285 1.4543
-7.4451 -4.7192 1.4409
-6.3697 -2.0773 4.6678
```

Computed properties:
Total magnetization   0.0 μB/f.u.
Uncorrected energy   -26.548 eV/cell
ΔE_f   0.423 eV per atom